(1)
DFT (PBE) results for a geometry-optimized La2SmSn structure.

## Properties
Its total moment is 0.0 μB/cell. For the formation energy, the calculation gives -1.5 eV per formula unit. The calculation puts the uncorrected energy at -5.03 eV per atom. Its offset from the most stable computed form is 88 meV/atom. The density of states at the Fermi level is 5.07 states/eV/f.u.

a b c (Å): 4.333 4.333 6.990
angles (deg): 90.00 90.00 90.00
Sites, in units of the cell vectors:
La: 0.000 0.000 0.223
La: 0.000 0.000 0.777
Sm: 0.500 0.500 0.500
Sn: 0.500 0.500 0.000

---

(2)
DFT (PBE) results for a geometry-optimized La9SmSn2 structure.

## Properties
Its total moment is 0.0 μB/cell. For the formation energy, the calculation gives -3.6 eV per formula unit. The calculation puts the uncorrected energy at -5.06 eV per atom. The density of states at the Fermi level is 16.67 states/eV/f.u.

a b c (Å): 5.074 5.074 15.519
angles (deg): 90.00 90.00 90.00
Sites, in units of the cell vectors:
La: 0.000 0.000 0.000
La: 0.000 0.000 0.339
La: 0.000 0.000 0.661
La: 0.000 0.500 0.175
La: 0.000 0.500 0.500
La: 0.000 0.500 0.825
La: 0.500 0.000 0.175
La: 0.500 0.000 0.500
La: 0.500 0.000 0.825
Sm: 0.500 0.500 0.000
Sn: 0.500 0.500 0.338
Sn: 0.500 0.500 0.662

---

(3)
DFT (PBE) results for a geometry-optimized La5Sm5Sn6 structure.

## Properties
Its total moment is 0.0 μB/cell. For the formation energy, the calculation gives -11.0 eV per formula unit. The calculation puts the uncorrected energy at -5.20 eV per atom. The density of states at the Fermi level is 17.22 states/eV/f.u.

a b c (Å): 6.864 9.371 9.371
angles (deg): 120.16 90.00 90.00
Sites, in units of the cell vectors:
La: 0.000 0.000 0.000
La: 0.252 0.573 0.905
La: 0.252 0.905 0.573
La: 0.748 0.573 0.905
La: 0.748 0.905 0.573
Sm: 0.000 0.238 0.480
Sm: 0.000 0.480 0.238
Sm: 0.500 0.241 0.997
Sm: 0.500 0.478 0.478
Sm: 0.500 0.997 0.241
Sn: 0.000 0.242 0.847
Sn: 0.000 0.624 0.624
Sn: 0.000 0.847 0.242
Sn: 0.500 0.239 0.628
Sn: 0.500 0.628 0.239
Sn: 0.500 0.852 0.852

---

(4)
DFT (PBE) results for a geometry-optimized La3SmSn2 structure.

## Properties
Its total moment is 0.0 μB/cell. For the formation energy, the calculation gives -1.8 eV per formula unit. The calculation puts the uncorrected energy at -4.89 eV per atom. Its offset from the most stable computed form is 298 meV/atom. The density of states at the Fermi level is 8.15 states/eV/f.u.

a b c (Å): 3.388 5.373 9.583
angles (deg): 90.00 90.00 90.00
Sites, in units of the cell vectors:
La: 0.000 0.000 0.000
La: 0.000 0.000 0.321
La: 0.000 0.500 0.828
Sm: 0.000 0.500 0.502
Sn: 0.500 0.000 0.656
Sn: 0.500 0.500 0.166

---

(5)
DFT (PBE) results for a geometry-optimized La5SmSn4 structure.

## Properties
Its total moment is 2.1 μB/cell. For the formation energy, the calculation gives -3.5 eV per formula unit. The calculation puts the uncorrected energy at -4.88 eV per atom. The density of states at the Fermi level is 8.04 states/eV/f.u.

a b c (Å): 10.254 10.654 7.749
angles (deg): 90.00 90.00 90.00
Sites, in units of the cell vectors:
La: 0.003 0.049 0.247
La: 0.003 0.451 0.247
La: 0.250 0.250 0.709
La: 0.497 0.049 0.247
La: 0.497 0.451 0.247
La: 0.503 0.549 0.753
La: 0.503 0.951 0.753
La: 0.750 0.750 0.291
La: 0.997 0.549 0.753
La: 0.997 0.951 0.753
Sm: 0.250 0.750 0.288
Sm: 0.750 0.250 0.712
Sn: 0.004 0.750 0.059
Sn: 0.250 0.505 0.501
Sn: 0.250 0.995 0.501
Sn: 0.496 0.750 0.059
Sn: 0.504 0.250 0.941
Sn: 0.750 0.005 0.499
Sn: 0.750 0.495 0.499
Sn: 0.996 0.250 0.941

---

(6)
DFT (PBE) results for a geometry-optimized LaSmSn structure.

## Properties
Its total moment is 0.0 μB/cell. For the formation energy, the calculation gives -1.3 eV per formula unit. The calculation puts the uncorrected energy at -5.00 eV per atom. Its offset from the most stable computed form is 175 meV/atom. The density of states at the Fermi level is 3.97 states/eV/f.u.

a b c (Å): 5.331 5.331 5.331
angles (deg): 60.00 60.00 60.00
Sites, in units of the cell vectors:
La: 0.000 0.000 0.000
Sm: 0.500 0.500 0.500
Sn: 0.250 0.250 0.250

---

> uncorrected energy of number 2 (La9SmSn2)?

-5.06 eV per atom

---

> What is the formula in the sixth record?

LaSmSn

---

> The highest total moment belongs to which entry?

La5SmSn4

---

Copy entry 2 word for word.
DFT (PBE) results for a geometry-optimized La9SmSn2 structure.

## Properties
Its total moment is 0.0 μB/cell. For the formation energy, the calculation gives -3.6 eV per formula unit. The calculation puts the uncorrected energy at -5.06 eV per atom. The density of states at the Fermi level is 16.67 states/eV/f.u.

a b c (Å): 5.074 5.074 15.519
angles (deg): 90.00 90.00 90.00
Sites, in units of the cell vectors:
La: 0.000 0.000 0.000
La: 0.000 0.000 0.339
La: 0.000 0.000 0.661
La: 0.000 0.500 0.175
La: 0.000 0.500 0.500
La: 0.000 0.500 0.825
La: 0.500 0.000 0.175
La: 0.500 0.000 0.500
La: 0.500 0.000 0.825
Sm: 0.500 0.500 0.000
Sn: 0.500 0.500 0.338
Sn: 0.500 0.500 0.662